[1]
Ag2As | GGA-PBE | optimized geometry

Cell: 5.6393 5.6393 6.9910 Å, 81.46 81.46 30.73°
Fractional positions:
Ag: 0.9810 0.9810 0.9862
Ag: 0.3361 0.3361 0.3377
Ag: 0.6872 0.6872 0.6660
Ag: 0.6079 0.6079 0.2777
As: 0.9700 0.9700 0.5821
As: 0.2511 0.2511 0.9837

Calculated values
- Relative energy among the computed polymorphs: 8 meV per atom
- Spin magnetization: 0.0000 μB per atom
- DOS at the Fermi energy: 0.302 states/eV per atom

[2]
AgAs | GGA-PBE | optimized geometry

Cell: 4.6840 7.5711 9.4412 Å, 90.00 90.00 90.00°
Fractional positions:
Ag: 0.1328 0.0358 0.3076
Ag: 0.6328 0.4642 0.6924
Ag: 0.8672 0.5358 0.1924
Ag: 0.3672 0.9642 0.8076
Ag: 0.1904 0.8180 0.0758
Ag: 0.6904 0.6820 0.9242
Ag: 0.8096 0.3180 0.4242
Ag: 0.3096 0.1820 0.5758
As: 0.5098 0.2390 0.1713
As: 0.0098 0.2610 0.8287
As: 0.4902 0.7390 0.3287
As: 0.9902 0.7610 0.6713
As: 0.2281 0.5459 0.5042
As: 0.7281 0.9541 0.4958
As: 0.7719 0.0459 0.9958
As: 0.2719 0.4541 0.0042

Calculated values
- Relative energy among the computed polymorphs: 0 meV per atom
- Spin magnetization: 0.0000 μB per atom
- DOS at the Fermi energy: 0.079 states/eV per atom

[3]
AgAs | GGA-PBE | optimized geometry

Cell: 6.8445 6.0026 2.9355 Å, 75.85 77.62 42.73°
Fractional positions:
As: 0.4135 0.6161 0.4852
As: 0.5032 0.9672 0.2648
Ag: 0.8990 0.0755 0.0127
Ag: 0.0177 0.5078 0.7373

Calculated values
- Relative energy among the computed polymorphs: 21 meV per atom
- Spin magnetization: 0.0000 μB per atom
- DOS at the Fermi energy: 0.249 states/eV per atom

[4]
AgAs5 | GGA-PBE | optimized geometry

Cell: 5.3012 5.3012 4.9294 Å, 90.00 90.00 120.00°
Fractional positions:
Ag: 0.0000 0.0000 0.5000
As: 0.7170 0.0000 0.0000
As: 0.2830 0.2830 0.0000
As: 0.0000 0.7170 0.0000
As: 0.6667 0.3333 0.5000
As: 0.3333 0.6667 0.5000

Calculated values
- Relative energy among the computed polymorphs: 278 meV per atom
- Spin magnetization: 0.0000 μB per atom
- DOS at the Fermi energy: 0.198 states/eV per atom

[5]
AgAs | GGA-PBE | optimized geometry

Cell: 2.9485 9.6461 8.0813 Å, 90.00 90.00 90.00°
Fractional positions:
Ag: 0.0000 0.6203 0.1808
Ag: 0.5000 0.3797 0.3192
Ag: 0.5000 0.3797 0.6808
Ag: 0.0000 0.6203 0.8192
Ag: 0.0000 0.1630 0.5000
Ag: 0.5000 0.8370 0.0000
As: 0.0000 0.8927 0.6770
As: 0.5000 0.1073 0.8230
As: 0.5000 0.1073 0.1770
As: 0.0000 0.8927 0.3230
As: 0.0000 0.3766 0.0000
As: 0.5000 0.6234 0.5000

Calculated values
- Relative energy among the computed polymorphs: 130 meV per atom
- Spin magnetization: 0.0000 μB per atom
- DOS at the Fermi energy: 0.366 states/eV per atom

[6]
AgAs | GGA-PBE | optimized geometry

Cell: 6.6269 6.6269 7.1128 Å, 64.67 64.67 25.58°
Fractional positions:
Ag: 0.9612 0.9612 0.0238
Ag: 0.3195 0.3195 0.4056
Ag: 0.4397 0.4397 0.6877
As: 0.6607 0.6607 0.7289
As: 0.0344 0.0344 0.3256
As: 0.7512 0.7512 0.9950

Calculated values
- Relative energy among the computed polymorphs: 83 meV per atom
- Spin magnetization: 0.0000 μB per atom
- DOS at the Fermi energy: 0.340 states/eV per atom

What is the relative energy among the computed polymorphs in the sixth record? 83 meV per atom

What is the spin magnetization in the first record? 0.0000 μB per atom